# LiIrOs4 PBE-GGA relaxed
# Calculated total energy   -0.315 Ha/atom
# Magnetization   0.0 μB/f.u.
data_LiIrOs4
_chemical_formula_sum 'Li1 Ir1 Os4'
_space_group_name_H-M_alt 'P 1'
_space_group_IT_number 1
_space_group_name_Hall 'P 1'
_cell_length_a 5.1069
_cell_length_b 5.1069
_cell_length_c 5.1069
_cell_angle_alpha 60.00
_cell_angle_beta 60.00
_cell_angle_gamma 60.00
loop_
_atom_site_label
_atom_site_fract_x
_atom_site_fract_y
_atom_site_fract_z
Li1 0.0000 0.0000 0.0000
Ir1 0.7500 0.7500 0.7500
Os1 0.3751 0.3751 0.3751
Os2 0.3751 0.3751 0.8748
Os3 0.3751 0.8748 0.3751
Os4 0.8748 0.3751 0.3751